Density functional theory data (GGA-PBE) for a geometry-optimized TaW2I structure.

The structure in CIF format:
```
data_TaW2I
_chemical_formula_sum 'Ta2 W4 I2'
_cell_length_a 10.6857
_cell_length_b 10.6857
_cell_length_c 10.6857
_cell_angle_alpha 158.93
_cell_angle_beta 158.93
_cell_angle_gamma 29.98
_symmetry_space_group_name_H-M 'P 1'
_symmetry_Int_Tables_number 1
loop_
_symmetry_equiv_pos_as_xyz
'x,y,z'
loop_
_atom_site_label
_atom_site_type_symbol
_atom_site_fract_x
_atom_site_fract_y
_atom_site_fract_z
_atom_site_occupancy
Ta1 Ta 0.0000 0.0000 0.0000 1
Ta2 Ta 0.7500 0.2500 0.5000 1
W1 W 0.1100 0.6250 0.9850 1
W2 W 0.3750 0.3600 0.4850 1
W3 W 0.6400 0.1250 0.0150 1
W4 W 0.8750 0.8900 0.5150 1
I1 I 0.2500 0.7500 0.5000 1
I2 I 0.5000 0.5000 0.0000 1
```

DFT total energy: -8.3816 eV/atom
total magnetization: 0.000 μB per formula unit
ΔE_f (raw): 1.446 eV per atom